[1]
{
  "formula": "PmAl2F8",
  "functional": "PBE",
  "state": "relaxed",
  "polymorph_energy_kj_per_mol_fu": 0,
  "total_magnetization_mub_per_cell": 0.000,
  "e_form_raw_ev_per_atom": -3.47,
  "lattice": [[-1.030, -0.487, -3.505], [-2.963, -6.080, 1.715], [-3.722, 5.896, 0.274]],
  "species": ["F", "F", "Al", "Pm", "F", "F", "F", "F", "F", "F", "Al"],
  "fractional_positions": [[0.208, 0.191, 0.811], [0.292, 0.667, 0.333], [0.209, 0.333, 0.667], [0.000, 0.000, 0.000], [0.792, 0.380, 0.191], [0.792, 0.809, 0.189], [0.208, 0.189, 0.380], [0.792, 0.811, 0.620], [0.208, 0.620, 0.809], [0.708, 0.333, 0.667], [0.791, 0.667, 0.333]]
}

[2]
{
  "formula": "PmAlF5",
  "functional": "PBE",
  "state": "relaxed",
  "total_magnetization_mub_per_cell": 0.528,
  "e_form_raw_ev_per_atom": -3.45,
  "lattice": [[0.234, 3.114, -4.665], [-4.975, 2.595, 0.160], [1.240, 6.586, 2.047]],
  "species": ["Al", "F", "Al", "F", "F", "F", "F", "Pm", "Pm", "F", "F", "F", "F", "F"],
  "fractional_positions": [[0.000, 0.000, 0.500], [0.708, 0.177, 0.955], [0.000, 0.000, 0.000], [0.279, 0.154, 0.378], [0.846, 0.721, 0.122], [0.292, 0.823, 0.045], [0.721, 0.846, 0.622], [0.490, 0.510, 0.750], [0.510, 0.490, 0.250], [0.154, 0.279, 0.878], [0.177, 0.708, 0.455], [0.905, 0.095, 0.250], [0.823, 0.292, 0.545], [0.095, 0.905, 0.750]]
}

[3]
{
  "formula": "Pr3AlF",
  "functional": "PBE",
  "state": "relaxed",
  "total_magnetization_mub_per_cell": 0.000,
  "e_form_raw_ev_per_atom": -1.04,
  "lattice": [[-2.855, -2.730, -3.117], [4.130, -1.574, -2.404], [0.330, -3.923, 3.134]],
  "species": ["F", "Al", "Pr", "Pr", "Pr"],
  "fractional_positions": [[0.000, 0.000, 0.000], [0.500, 0.500, 0.500], [0.000, 0.500, 0.000], [0.500, 0.000, 0.000], [0.000, 0.000, 0.500]]
}